No. 1
# Pr3Y3HoTe8 PBE relaxed
data_Pr3Y3HoTe8
_cell_length_a 8.8244
_cell_length_b 8.8244
_cell_length_c 21.8534
_cell_angle_alpha 90.00
_cell_angle_beta 90.00
_cell_angle_gamma 120.00
_symmetry_space_group_name_H-M 'R -3 m'
_symmetry_Int_Tables_number 166
_symmetry_space_group_name_Hall '-R 3 2"'
loop_
_atom_site_label
_atom_site_type_symbol
_atom_site_fract_x
_atom_site_fract_y
_atom_site_fract_z
_atom_site_occupancy
Pr1 Pr 0.0000 0.5000 0.0000 1
Y1 Y 0.0000 0.5000 0.5000 1
Ho1 Ho 0.0000 0.0000 0.5000 1
Te1 Te 0.0000 0.0000 0.2457 1
Te2 Te 0.0066 0.5033 0.7527 1
# raw total energy	-254.238	eV for the cell shown
# E_form (uncorrected)	-1.420	eV/atom


No. 2
# Pm3Pu2UN6 PBE relaxed
data_Pm3Pu2UN6
_cell_length_a 6.1151
_cell_length_b 10.5801
_cell_length_c 6.1187
_cell_angle_alpha 90.00
_cell_angle_beta 109.47
_cell_angle_gamma 90.00
_symmetry_space_group_name_H-M 'C 1 2/m 1'
_symmetry_Int_Tables_number 12
loop_
_symmetry_equiv_pos_as_xyz
'x,y,z'
'-x,-y,-z'
'-x,y,-z'
'x,-y,z'
'x+1/2,y+1/2,z'
'-x+1/2,-y+1/2,-z'
'-x+1/2,y+1/2,-z'
'x+1/2,-y+1/2,z'
loop_
_atom_site_label
_atom_site_type_symbol
_atom_site_fract_x
_atom_site_fract_y
_atom_site_fract_z
_atom_site_occupancy
Pm1 Pm 0.0000 0.0000 0.0000 1
Pm2 Pm 0.0000 0.3314 0.0000 1
Pu1 Pu 0.0000 0.1663 0.5000 1
U1 U 0.0000 0.5000 0.5000 1
N1 N 0.2325 0.3414 0.7218 1
N2 N 0.2436 0.5000 0.2775 1
# raw total energy	-241.918	eV for the cell shown
# E_form (uncorrected)	-1.400	eV/atom


No. 3
# Y3Ho4Er3 PBE relaxed
data_Y3Ho4Er3
_cell_length_a 3.7058
_cell_length_b 13.0737
_cell_length_c 13.0703
_cell_angle_alpha 90.00
_cell_angle_beta 90.00
_cell_angle_gamma 90.00
_symmetry_space_group_name_H-M 'A m m 2'
_symmetry_Int_Tables_number 38
loop_
_symmetry_equiv_pos_as_xyz
'x,y,z'
'-x,-y,z'
'-x,y,z'
'x,-y,z'
'x,y+1/2,z+1/2'
'-x,-y+1/2,z+1/2'
'-x,y+1/2,z+1/2'
'x,-y+1/2,z+1/2'
loop_
_atom_site_label
_atom_site_type_symbol
_atom_site_fract_x
_atom_site_fract_y
_atom_site_fract_z
_atom_site_occupancy
Y1 Y 0.0000 0.0000 0.0000 1
Y2 Y 0.0000 0.1718 0.3288 1
Ho1 Ho 0.5000 0.0000 0.2019 1
Ho2 Ho 0.5000 0.0000 0.4567 1
Ho3 Ho 0.5000 0.1265 0.8271 1
Er1 Er 0.0000 0.0000 0.6570 1
Er2 Er 0.5000 0.2495 0.5787 1
# raw total energy	-100.867	eV for the cell shown
# E_form	96	meV/atom


No. 4
# AcZr2N PBE relaxed
data_AcZr2N
_cell_length_a 3.3896
_cell_length_b 3.3896
_cell_length_c 27.3547
_cell_angle_alpha 90.00
_cell_angle_beta 90.00
_cell_angle_gamma 120.00
_symmetry_space_group_name_H-M 'R -3 m'
_symmetry_Int_Tables_number 166
_symmetry_space_group_name_Hall '-R 3 2"'
loop_
_atom_site_label
_atom_site_type_symbol
_atom_site_fract_x
_atom_site_fract_y
_atom_site_fract_z
_atom_site_occupancy
Ac1 Ac 0.0000 0.0000 0.0000 1
Zr1 Zr 0.0000 0.0000 0.1231 1
N1 N 0.0000 0.0000 0.5000 1
# raw total energy	-95.053	eV for the cell shown
# E_form (uncorrected)	-0.539	eV/atom


No. 5
# LaPm8Ho4 PBE relaxed
data_LaPm8Ho4
_cell_length_a 7.3930
_cell_length_b 7.3930
_cell_length_c 27.8728
_cell_angle_alpha 90.00
_cell_angle_beta 90.00
_cell_angle_gamma 120.00
_symmetry_space_group_name_H-M 'R -3 m'
_symmetry_Int_Tables_number 166
_symmetry_space_group_name_Hall '-R 3 2"'
loop_
_atom_site_label
_atom_site_type_symbol
_atom_site_fract_x
_atom_site_fract_y
_atom_site_fract_z
_atom_site_occupancy
La1 La 0.0000 0.0000 0.0000 1
Pm1 Pm 0.0000 0.0000 0.2812 1
Pm2 Pm 0.0326 0.5163 0.2667 1
Ho1 Ho 0.0000 0.0000 0.5000 1
Ho2 Ho 0.0000 0.5000 0.5000 1
# raw total energy	-177.242	eV for the cell shown
# E_form	166	meV/atom


No. 6
# Cd2SiNi PBE relaxed
data_Cd2SiNi
_cell_length_a 6.5032
_cell_length_b 6.5032
_cell_length_c 6.5032
_cell_angle_alpha 90.00
_cell_angle_beta 90.00
_cell_angle_gamma 90.00
_symmetry_space_group_name_H-M 'F -4 3 m'
_symmetry_Int_Tables_number 216
_symmetry_space_group_name_Hall 'F -4 2 3'
loop_
_atom_site_label
_atom_site_type_symbol
_atom_site_fract_x
_atom_site_fract_y
_atom_site_fract_z
_atom_site_occupancy
Cd1 Cd 0.0000 0.0000 0.0000 1
Cd2 Cd 0.2500 0.2500 0.2500 1
Si1 Si 0.2500 0.2500 0.7500 1
Ni1 Ni 0.0000 0.0000 0.5000 1
# raw total energy	-46.567	eV for the cell shown
# E_form (uncorrected)	0.348	eV/atom


Total magnetization: 0.00; 10.35; 0.00; 0.00; 0.00; 0.00 (μB per formula unit)